[1]
A geometry-optimized VCo2ReHg structure, computed with GGA-PBE.

```
data_VCo2ReHg
_chemical_formula_sum 'V1 Co2 Re1 Hg1'
_cell_length_a 4.1370
_cell_length_b 4.1370
_cell_length_c 4.9234
_cell_angle_alpha 90.00
_cell_angle_beta 90.00
_cell_angle_gamma 90.00
_space_group_name_H-M_alt 'P 4/m m m'
_space_group_IT_number 123
_space_group_name_Hall '-P 4 2'
loop_
_atom_site_label
_atom_site_fract_x
_atom_site_fract_y
_atom_site_fract_z
V1 0.0000 0.0000 0.0000
Co1 0.0000 0.5000 0.0000
Re1 0.5000 0.5000 0.5000
Hg1 0.0000 0.0000 0.5000
```

The value obtained for the formation energy is 1.684 eV per atom. The total moment is 0.563 μB per atom.

[2]
A geometry-optimized MgMoBr structure, computed with GGA-PBE.

```
data_MgMoBr
_chemical_formula_sum 'Mg1 Mo1 Br1'
_cell_length_a 4.6592
_cell_length_b 4.6592
_cell_length_c 3.0052
_cell_angle_alpha 90.00
_cell_angle_beta 90.00
_cell_angle_gamma 120.00
_space_group_name_H-M_alt 'P -6 m 2'
_space_group_IT_number 187
_space_group_name_Hall 'P -6 2'
loop_
_atom_site_label
_atom_site_fract_x
_atom_site_fract_y
_atom_site_fract_z
Mg1 0.0000 0.0000 0.0000
Mo1 0.6667 0.3333 0.5000
Br1 0.3333 0.6667 0.5000
```

The polymorph energy (0 for the lowest one) is 345.8 meV per atom. The total moment is 0.000 μB per atom. As for the uncorrected formation energy: 58 kJ/mol of atoms.

[3]
A geometry-optimized UPdSe2 structure, computed with GGA-PBE.

```
data_UPdSe2
_chemical_formula_sum 'U3 Pd3 Se6'
_cell_length_a 3.6183
_cell_length_b 3.6183
_cell_length_c 25.6210
_cell_angle_alpha 90.00
_cell_angle_beta 90.00
_cell_angle_gamma 120.00
_space_group_name_H-M_alt 'R -3 m'
_space_group_IT_number 166
_space_group_name_Hall '-R 3 2"'
loop_
_atom_site_label
_atom_site_fract_x
_atom_site_fract_y
_atom_site_fract_z
U1 0.0000 0.0000 0.0000
Pd1 0.0000 0.0000 0.5000
Se1 0.0000 0.0000 0.1085
```

The polymorph energy (0 for the lowest one) is 845.8 meV per atom. The total moment is 0.781 μB per atom. As for the uncorrected formation energy: 4 kJ/mol of atoms.

[4]
A geometry-optimized Tb7Tl2Ni2 structure, computed with GGA-PBE.

```
data_Tb7Tl2Ni2
_chemical_formula_sum 'Tb14 Tl4 Ni4'
_cell_length_a 7.9894
_cell_length_b 11.1668
_cell_length_c 7.0044
_cell_angle_alpha 90.00
_cell_angle_beta 90.00
_cell_angle_gamma 90.00
_space_group_name_H-M_alt 'C m m m'
_space_group_IT_number 65
_space_group_name_Hall '-C 2 2'
loop_
_atom_site_label
_atom_site_fract_x
_atom_site_fract_y
_atom_site_fract_z
Tb1 0.0000 0.0000 0.0000
Tb2 0.0000 0.5000 0.2337
Tb3 0.2500 0.2500 0.2433
Tl1 0.1813 0.0000 0.5000
Ni1 0.0000 0.2946 0.0000
```

The value obtained for the formation energy is -0.185 eV per atom. The total moment is 0.000 μB per atom.

[5]
A geometry-optimized Zn2H2Rh structure, computed with GGA-PBE.

```
data_Zn2H2Rh
_chemical_formula_sum 'Zn4 H4 Rh2'
_cell_length_a 5.2935
_cell_length_b 5.2935
_cell_length_c 3.8551
_cell_angle_alpha 90.00
_cell_angle_beta 90.00
_cell_angle_gamma 90.00
_space_group_name_H-M_alt 'P 4/m b m'
_space_group_IT_number 127
_space_group_name_Hall '-P 4 2ab'
loop_
_atom_site_label
_atom_site_fract_x
_atom_site_fract_y
_atom_site_fract_z
Zn1 0.2477 0.2523 0.0000
H1 0.2477 0.2523 0.5000
Rh1 0.0000 0.0000 0.5000
```

The total moment is 0.000 μB per atom.

[6]
A geometry-optimized CuRu2Br structure, computed with GGA-PBE.

```
data_CuRu2Br
_chemical_formula_sum 'Cu1 Ru2 Br1'
_cell_length_a 2.9238
_cell_length_b 2.9352
_cell_length_c 7.7278
_cell_angle_alpha 90.00
_cell_angle_beta 90.00
_cell_angle_gamma 90.00
_space_group_name_H-M_alt 'P m m 2'
_space_group_IT_number 25
_space_group_name_Hall 'P 2 -2'
loop_
_atom_site_label
_atom_site_fract_x
_atom_site_fract_y
_atom_site_fract_z
Cu1 0.0000 0.0000 0.0000
Ru1 0.0000 0.0000 0.5773
Ru2 0.5000 0.5000 0.7774
Br1 0.0000 0.5000 0.2998
```

The polymorph energy (0 for the lowest one) is 0.0 meV per atom. The total moment is 0.010 μB per atom. As for the uncorrected formation energy: 43 kJ/mol of atoms.

[7]
A geometry-optimized Li2NiRu structure, computed with GGA-PBE.

```
data_Li2NiRu
_chemical_formula_sum 'Li2 Ni1 Ru1'
_cell_length_a 2.4541
_cell_length_b 4.1946
_cell_length_c 4.9857
_cell_angle_alpha 90.00
_cell_angle_beta 90.00
_cell_angle_gamma 90.00
_space_group_name_H-M_alt 'P m m m'
_space_group_IT_number 47
_space_group_name_Hall '-P 2 2'
loop_
_atom_site_label
_atom_site_fract_x
_atom_site_fract_y
_atom_site_fract_z
Li1 0.0000 0.0000 0.2496
Ni1 0.5000 0.5000 0.0000
Ru1 0.5000 0.5000 0.5000
```

The value obtained for the formation energy is 0.191 eV per atom. The polymorph energy (0 for the lowest one) is 141.8 meV per atom. The total moment is 0.193 μB per atom.

[8]
A geometry-optimized CaTbHo structure, computed with GGA-PBE.

```
data_CaTbHo
_chemical_formula_sum 'Ca2 Tb2 Ho2'
_cell_length_a 3.6224
_cell_length_b 3.6224
_cell_length_c 15.7140
_cell_angle_alpha 90.00
_cell_angle_beta 90.00
_cell_angle_gamma 90.00
_space_group_name_H-M_alt 'P 4/n m m'
_space_group_IT_number 129
loop_
_space_group_symop_operation_xyz
'x,y,z'
'-x,-y,-z'
'-y+1/2,x,z'
'y+1/2,-x,-z'
'-x+1/2,-y+1/2,z'
'x+1/2,y+1/2,-z'
'y,-x+1/2,z'
'-y,x+1/2,-z'
'x+1/2,-y,-z'
'-x+1/2,y,z'
'-y,-x,-z'
'y,x,z'
'-x,y+1/2,-z'
'x,-y+1/2,z'
'y+1/2,x+1/2,-z'
'-y+1/2,-x+1/2,z'
loop_
_atom_site_label
_atom_site_fract_x
_atom_site_fract_y
_atom_site_fract_z
Ca1 0.2500 0.2500 0.0955
Tb1 0.2500 0.2500 0.7289
Ho1 0.2500 0.2500 0.4210
```

The value obtained for the formation energy is 0.050 eV per atom. The polymorph energy (0 for the lowest one) is 0.0 meV per atom. The total moment is 0.000 μB per atom.

Number 1: total energy -0.2033 hartree per atom. Number 2: total energy -0.1505 hartree per atom. Number 3: total energy -0.2138 hartree per atom. Number 4: total energy -0.1695 hartree per atom. Number 5: total energy -0.1234 hartree per atom. Number 6: total energy -0.2071 hartree per atom. Number 7: total energy -0.1665 hartree per atom. Number 8: total energy -0.1355 hartree per atom.